Y4HgRu at its PBEsol-relaxed geometry. Source: the Alexandria database, functional SCAN.

Properties
Space-group type ... F-43m (216)
Crystal system ... cubic
Total magnetic moment ... 1.83 μB/f.u.
DFT total energy ... -35.109 eV/atom
ρ ... 7.55 g/cm3
D(E_F) ... 0.56 states/eV per atom
E_form ... 0.619 eV per atom

Unit cell a=5.890 b=5.890 c=5.890 alpha=60.00 beta=60.00 gamma=60.00
Atoms (fractional coordinates):
Y: 0.124 0.124 0.124
Y: 0.124 0.124 0.629
Y: 0.124 0.629 0.124
Y: 0.629 0.124 0.124
Hg: 0.500 0.500 0.500
Ru: 0.750 0.750 0.750

NaLa2BiRh at its PBEsol-relaxed geometry. Source: the Alexandria database, functional SCAN.

Properties
Space-group type ... P4/mmm (123)
Crystal system ... tetragonal
Total magnetic moment ... 1.87 μB/f.u.
DFT total energy ... -39.818 eV/atom
ρ ... 6.92 g/cm3
D(E_F) ... 0.85 states/eV per atom
E_form ... 0.737 eV per atom

Unit cell a=5.452 b=5.452 c=4.949 alpha=90.00 beta=90.00 gamma=90.00
Atoms (fractional coordinates):
Na: 0.000 0.000 0.000
La: 0.000 0.500 0.000
La: 0.500 0.000 0.000
Bi: 0.000 0.000 0.500
Rh: 0.500 0.500 0.500

SrAlFe at its PBEsol-relaxed geometry. Source: the Alexandria database, functional SCAN.

Properties
Space-group type ... P-6m2 (187)
Crystal system ... hexagonal
Total magnetic moment ... 1.97 μB/f.u.
DFT total energy ... -15.798 eV/atom
ρ ... 4.03 g/cm3
D(E_F) ... 0.79 states/eV per atom
E_form ... 0.254 eV per atom

Unit cell a=4.263 b=4.263 c=4.468 alpha=90.00 beta=90.00 gamma=120.00
Atoms (fractional coordinates):
Sr: 0.000 0.000 0.000
Al: 0.333 0.667 0.500
Fe: 0.667 0.333 0.500

Dy3Tm at its PBEsol-relaxed geometry. Source: the Alexandria database, functional SCAN.

Properties
Space-group type ... Pm-3m (221)
Crystal system ... cubic
Total magnetic moment ... 0.01 μB/f.u.
DFT total energy ... -48.783 eV/atom
ρ ... 9.40 g/cm3
D(E_F) ... 1.20 states/eV per atom
E_form ... 0.022 eV per atom

Unit cell a=4.876 b=4.876 c=4.876 alpha=90.00 beta=90.00 gamma=90.00
Atoms (fractional coordinates):
Dy: 0.000 0.000 0.500
Dy: 0.000 0.500 0.000
Dy: 0.500 0.000 0.000
Tm: 0.500 0.500 0.500

CaAs2Br at its PBEsol-relaxed geometry. Source: the Alexandria database, functional SCAN.

Properties
Space-group type ... F-43m (216)
Crystal system ... cubic
Total magnetic moment ... 0.00 μB/f.u.
DFT total energy ... -17.746 eV/atom
Formation energy without anion corrections ... -0.37 eV per atom
ρ ... 4.95 g/cm3
D(E_F) ... 0.57 states/eV per atom

Unit cell a=7.126 b=7.126 c=7.126 alpha=90.00 beta=90.00 gamma=90.00
Atoms (fractional coordinates):
Ca: 0.000 0.000 0.000
Ca: 0.000 0.500 0.500
Ca: 0.500 0.000 0.500
Ca: 0.500 0.500 0.000
As: 0.000 0.000 0.500
As: 0.000 0.500 0.000
As: 0.250 0.250 0.750
As: 0.250 0.750 0.250
As: 0.500 0.000 0.000
As: 0.500 0.500 0.500
As: 0.750 0.250 0.250
As: 0.750 0.750 0.750
Br: 0.250 0.250 0.250
Br: 0.250 0.750 0.750
Br: 0.750 0.250 0.750
Br: 0.750 0.750 0.250

In2FeAg at its PBEsol-relaxed geometry. Source: the Alexandria database, functional SCAN.

Properties
Space-group type ... F-43m (216)
Crystal system ... cubic
Total magnetic moment ... 2.42 μB/f.u.
DFT total energy ... -28.696 eV/atom
ρ ... 9.09 g/cm3
D(E_F) ... 0.56 states/eV per atom
E_form ... 0.371 eV per atom

Unit cell a=6.600 b=6.600 c=6.600 alpha=90.00 beta=90.00 gamma=90.00
Atoms (fractional coordinates):
In: 0.000 0.000 0.000
In: 0.000 0.500 0.500
In: 0.250 0.250 0.250
In: 0.250 0.750 0.750
In: 0.500 0.000 0.500
In: 0.500 0.500 0.000
In: 0.750 0.250 0.750
In: 0.750 0.750 0.250
Fe: 0.000 0.000 0.500
Fe: 0.000 0.500 0.000
Fe: 0.500 0.000 0.000
Fe: 0.500 0.500 0.500
Ag: 0.250 0.250 0.750
Ag: 0.250 0.750 0.250
Ag: 0.750 0.250 0.250
Ag: 0.750 0.750 0.750

YTaAl at its PBEsol-relaxed geometry. Source: the Alexandria database, functional SCAN.

Properties
Space-group type ... I4mm (107)
Crystal system ... tetragonal
Total magnetic moment ... 0.00 μB/f.u.
DFT total energy ... -34.058 eV/atom
ρ ... 8.19 g/cm3
D(E_F) ... 1.05 states/eV per atom
E_form ... 0.001 eV per atom

Unit cell a=2.989 b=2.989 c=13.478 alpha=90.00 beta=90.00 gamma=90.00
Atoms (fractional coordinates):
Y: 0.000 0.000 0.000
Y: 0.500 0.500 0.500
Ta: 0.000 0.000 0.684
Ta: 0.500 0.500 0.184
Al: 0.000 0.000 0.326
Al: 0.500 0.500 0.826

SrHgPb2 at its PBEsol-relaxed geometry. Source: the Alexandria database, functional SCAN.

Properties
Space-group type ... I4/mmm (139)
Crystal system ... tetragonal
Total magnetic moment ... 0.00 μB/f.u.
DFT total energy ... -60.935 eV/atom
ρ ... 10.03 g/cm3
D(E_F) ... 0.58 states/eV per atom
E_form ... -0.434 eV per atom

Unit cell a=4.668 b=4.668 c=10.680 alpha=90.00 beta=90.00 gamma=90.00
Atoms (fractional coordinates):
Sr: 0.000 0.000 0.000
Sr: 0.500 0.500 0.500
Hg: 0.000 0.000 0.500
Hg: 0.500 0.500 0.000
Pb: 0.000 0.500 0.250
Pb: 0.000 0.500 0.750
Pb: 0.500 0.000 0.250
Pb: 0.500 0.000 0.750

Ca2ReTc at its PBEsol-relaxed geometry. Source: the Alexandria database, functional SCAN.

Properties
Space-group type ... Cmmm (65)
Crystal system ... orthorhombic
Total magnetic moment ... 0.00 μB/f.u.
DFT total energy ... -30.585 eV/atom
ρ ... 8.26 g/cm3
D(E_F) ... 0.64 states/eV per atom
E_form ... 0.786 eV per atom

Unit cell a=3.545 b=4.174 c=9.907 alpha=90.00 beta=90.00 gamma=90.00
Atoms (fractional coordinates):
Ca: 0.000 0.000 0.249
Ca: 0.000 0.000 0.751
Ca: 0.500 0.500 0.249
Ca: 0.500 0.500 0.751
Re: 0.000 0.500 0.500
Re: 0.500 0.000 0.500
Tc: 0.000 0.500 0.000
Tc: 0.500 0.000 0.000

TcOs at its PBEsol-relaxed geometry. Source: the Alexandria database, functional SCAN.

Properties
Space-group type ... P4/nmm (129)
Crystal system ... tetragonal
Total magnetic moment ... 0.00 μB/f.u.
DFT total energy ... -52.992 eV/atom
ρ ... 16.78 g/cm3
D(E_F) ... 0.91 states/eV per atom
E_form ... 0.478 eV per atom

Unit cell a=3.192 b=3.192 c=5.600 alpha=90.00 beta=90.00 gamma=90.00
Atoms (fractional coordinates):
Tc: 0.250 0.250 0.126
Tc: 0.750 0.750 0.874
Os: 0.250 0.250 0.627
Os: 0.750 0.750 0.373

MnCdSnF2 at its PBEsol-relaxed geometry. Source: the Alexandria database, functional SCAN.

Properties
Space-group type ... P4/mmm (123)
Crystal system ... tetragonal
Total magnetic moment ... 4.01 μB/f.u.
DFT total energy ... -19.196 eV/atom
Formation energy without anion corrections ... -0.86 eV per atom
ρ ... 5.10 g/cm3
D(E_F) ... 0.39 states/eV per atom

Unit cell a=4.131 b=4.131 c=6.178 alpha=90.00 beta=90.00 gamma=90.00
Atoms (fractional coordinates):
Mn: 0.000 0.000 0.000
Cd: 0.000 0.000 0.500
Sn: 0.500 0.500 0.000
F: 0.000 0.500 0.500
F: 0.500 0.000 0.500

CeCd3 at its PBEsol-relaxed geometry. Source: the Alexandria database, functional SCAN.

Properties
Space-group type ... Fm-3m (225)
Crystal system ... cubic
Total magnetic moment ... 1.16 μB/f.u.
DFT total energy ... -34.261 eV/atom
ρ ... 8.65 g/cm3
D(E_F) ... 0.46 states/eV per atom
E_form ... -0.309 eV per atom

Unit cell a=7.158 b=7.158 c=7.158 alpha=90.00 beta=90.00 gamma=90.00
Atoms (fractional coordinates):
Ce: 0.000 0.000 0.000
Ce: 0.000 0.500 0.500
Ce: 0.500 0.000 0.500
Ce: 0.500 0.500 0.000
Cd: 0.000 0.000 0.500
Cd: 0.000 0.500 0.000
Cd: 0.250 0.250 0.250
Cd: 0.250 0.250 0.750
Cd: 0.250 0.750 0.250
Cd: 0.250 0.750 0.750
Cd: 0.500 0.000 0.000
Cd: 0.500 0.500 0.500
Cd: 0.750 0.250 0.250
Cd: 0.750 0.250 0.750
Cd: 0.750 0.750 0.250
Cd: 0.750 0.750 0.750

RbAgHg3 at its PBEsol-relaxed geometry. Source: the Alexandria database, functional SCAN.

Properties
Space-group type ... Pm-3m (221)
Crystal system ... cubic
Total magnetic moment ... 0.00 μB/f.u.
DFT total energy ... -50.802 eV/atom
ρ ... 5.21 g/cm3
D(E_F) ... 0.08 states/eV per atom
E_form ... 0.519 eV per atom

Unit cell a=6.328 b=6.328 c=6.328 alpha=90.00 beta=90.00 gamma=90.00
Atoms (fractional coordinates):
Rb: 0.000 0.000 0.000
Ag: 0.500 0.500 0.500
Hg: 0.000 0.000 0.500
Hg: 0.000 0.500 0.000
Hg: 0.500 0.000 0.000

K3RhI at its PBEsol-relaxed geometry. Source: the Alexandria database, functional SCAN.

Properties
Space-group type ... Pm-3m (221)
Crystal system ... cubic
Total magnetic moment ... 1.17 μB/f.u.
DFT total energy ... -18.959 eV/atom
Formation energy without anion corrections ... 0.14 eV per atom
ρ ... 2.26 g/cm3
D(E_F) ... 1.11 states/eV per atom

Unit cell a=6.344 b=6.344 c=6.344 alpha=90.00 beta=90.00 gamma=90.00
Atoms (fractional coordinates):
K: 0.000 0.000 0.500
K: 0.000 0.500 0.000
K: 0.500 0.000 0.000
Rh: 0.500 0.500 0.500
I: 0.000 0.000 0.000

Cr2SiW at its PBEsol-relaxed geometry. Source: the Alexandria database, functional SCAN.

Properties
Space-group type ... I-4m2 (119)
Crystal system ... tetragonal
Total magnetic moment ... 1.79 μB/f.u.
DFT total energy ... -29.085 eV/atom
Formation energy without anion corrections ... 0.03 eV per atom
ρ ... 10.39 g/cm3
D(E_F) ... 0.88 states/eV per atom

Unit cell a=3.536 b=3.536 c=8.075 alpha=90.00 beta=90.00 gamma=90.00
Atoms (fractional coordinates):
Cr: 0.000 0.000 0.000
Cr: 0.000 0.500 0.250
Cr: 0.500 0.000 0.750
Cr: 0.500 0.500 0.500
Si: 0.000 0.000 0.500
Si: 0.500 0.500 0.000
W: 0.000 0.500 0.750
W: 0.500 0.000 0.250

WC2F at its PBEsol-relaxed geometry. Source: the Alexandria database, functional SCAN.

Properties
Space-group type ... I-42d (122)
Crystal system ... tetragonal
Total magnetic moment ... 0.00 μB/f.u.
DFT total energy ... -22.117 eV/atom
Formation energy without anion corrections ... 1.24 eV per atom
ρ ... 6.96 g/cm3
D(E_F) ... 0.43 states/eV per atom

Unit cell a=4.754 b=4.754 c=9.584 alpha=90.00 beta=90.00 gamma=90.00
Atoms (fractional coordinates):
W: 0.000 0.000 0.000
W: 0.000 0.500 0.250
W: 0.500 0.000 0.750
W: 0.500 0.500 0.500
C: 0.202 0.250 0.125
C: 0.250 0.702 0.375
C: 0.250 0.798 0.875
C: 0.298 0.250 0.625
C: 0.702 0.750 0.625
C: 0.750 0.202 0.875
C: 0.750 0.298 0.375
C: 0.798 0.750 0.125
F: 0.000 0.000 0.500
F: 0.000 0.500 0.750
F: 0.500 0.000 0.250
F: 0.500 0.500 0.000

TcPtW2 at its PBEsol-relaxed geometry. Source: the Alexandria database, functional SCAN.

Properties
Space-group type ... P4/mmm (123)
Crystal system ... tetragonal
Total magnetic moment ... 0.00 μB/f.u.
DFT total energy ... -61.338 eV/atom
ρ ... 18.39 g/cm3
D(E_F) ... 0.63 states/eV per atom
E_form ... -0.180 eV per atom

Unit cell a=3.921 b=3.921 c=3.881 alpha=90.00 beta=90.00 gamma=90.00
Atoms (fractional coordinates):
Tc: 0.000 0.000 0.000
Pt: 0.500 0.500 0.000
W: 0.000 0.500 0.500
W: 0.500 0.000 0.500

SbMoPb2 at its PBEsol-relaxed geometry. Source: the Alexandria database, functional SCAN.

Properties
Space-group type ... Cmmm (65)
Crystal system ... orthorhombic
Total magnetic moment ... 0.00 μB/f.u.
DFT total energy ... -55.316 eV/atom
Formation energy without anion corrections ... 0.61 eV per atom
ρ ... 10.86 g/cm3
D(E_F) ... 0.90 states/eV per atom

Unit cell a=3.850 b=4.812 c=10.439 alpha=90.00 beta=90.00 gamma=90.00
Atoms (fractional coordinates):
Sb: 0.000 0.000 0.000
Sb: 0.500 0.500 0.000
Mo: 0.000 0.000 0.500
Mo: 0.500 0.500 0.500
Pb: 0.000 0.500 0.289
Pb: 0.000 0.500 0.711
Pb: 0.500 0.000 0.289
Pb: 0.500 0.000 0.711

POsW2 at its PBEsol-relaxed geometry. Source: the Alexandria database, functional SCAN.

Properties
Space-group type ... R-3m (166)
Crystal system ... trigonal
Total magnetic moment ... 0.00 μB/f.u.
DFT total energy ... -55.185 eV/atom
ρ ... 17.06 g/cm3
D(E_F) ... 0.81 states/eV per atom
E_form ... 0.228 eV per atom

Unit cell a=2.803 b=2.803 c=25.271 alpha=90.00 beta=90.00 gamma=120.00
Atoms (fractional coordinates):
P: 0.000 0.000 0.000
P: 0.333 0.667 0.667
P: 0.667 0.333 0.333
Os: 0.000 0.000 0.500
Os: 0.333 0.667 0.167
Os: 0.667 0.333 0.833
W: 0.000 0.000 0.254
W: 0.000 0.000 0.746
W: 0.333 0.667 0.413
W: 0.333 0.667 0.921
W: 0.667 0.333 0.079
W: 0.667 0.333 0.587

Re3GeH at its PBEsol-relaxed geometry. Source: the Alexandria database, functional SCAN.

Properties
Space-group type ... Pm-3m (221)
Crystal system ... cubic
Total magnetic moment ... 0.00 μB/f.u.
DFT total energy ... -44.333 eV/atom
ρ ... 11.51 g/cm3
D(E_F) ... 1.24 states/eV per atom

Unit cell a=4.502 b=4.502 c=4.502 alpha=90.00 beta=90.00 gamma=90.00
Atoms (fractional coordinates):
Re: 0.000 0.000 0.500
Re: 0.000 0.500 0.000
Re: 0.500 0.000 0.000
Ge: 0.000 0.000 0.000
H: 0.500 0.500 0.500